Y12Tm2Sc after structural relaxation. Source: Alexandria, functional PBE.

Unit cell a=6.624 b=6.624 c=24.504 alpha=94.07 beta=94.07 gamma=115.98
Fractional coordinates of all 30 atoms:
Y1 0.037 0.495 0.303
Y2 0.064 0.516 0.827
Y3 0.169 0.699 0.567
Y4 0.170 0.641 0.056
Y5 0.184 0.184 0.100
Y6 0.201 0.201 0.644
Y7 0.301 0.831 0.433
Y8 0.306 0.306 0.938
Y9 0.328 0.328 0.384
Y10 0.359 0.830 0.944
Y11 0.484 0.936 0.173
Y12 0.495 0.037 0.303
Y13 0.505 0.963 0.697
Y14 0.516 0.064 0.827
Y15 0.641 0.170 0.056
Y16 0.672 0.672 0.616
Y17 0.694 0.694 0.062
Y18 0.699 0.169 0.567
Y19 0.799 0.799 0.356
Y20 0.816 0.816 0.900
Y21 0.830 0.359 0.944
Y22 0.831 0.301 0.433
Y23 0.936 0.484 0.173
Y24 0.963 0.505 0.697
Tm1 0.002 0.002 0.766
Tm2 0.479 0.479 0.234
Tm3 0.521 0.521 0.766
Tm4 0.998 0.998 0.234
Sc1 0.248 0.248 0.514
Sc2 0.752 0.752 0.486

Computed properties:
Energy = -6.0596 eV/atom
Energy of formation from the pure elements = 130 meV per atom
Symmetry = No. 12
D(E_F) = 45.85 states/eV per cell